No. 1
PBE Nd2Er2Al3, optimized geometry; uncorrected energy = -0.3352 Ry/atom; M_tot = 0.000 μB/cell
1.0
1.795 -14.300 0.000
1.795 14.300 0.000
0.000 0.000 3.572
Nd Er Al
2 2 3
Direct
0.190 0.810 0.000
0.810 0.190 0.000
0.061 0.939 0.000
0.939 0.061 0.000
0.376 0.624 0.500
0.500 0.500 0.500
0.624 0.376 0.500

---

No. 2
PBE NdErAl, optimized geometry; energy above the most stable polymorph in this dataset = 1.07 eV per formula unit; M_tot = 0.004 μB/cell
1.0
-2.950 2.950 5.316
2.950 -2.950 5.316
2.950 2.950 -5.316
Nd Er Al
2 2 2
Direct
0.000 0.000 0.000
0.750 0.250 0.500
0.312 0.812 0.500
0.562 0.562 0.000
0.040 0.540 0.500
0.290 0.290 0.000

---

No. 3
PBE Nd2ErAl, optimized geometry; energy above the most stable polymorph in this dataset = 0.04 eV per formula unit; M_tot = 0.001 μB/cell
1.0
4.843 0.000 0.000
0.000 4.843 0.000
0.000 0.000 4.865
Nd Er Al
2 1 1
Direct
0.000 0.500 0.000
0.500 0.000 0.000
0.000 0.000 0.500
0.500 0.500 0.500

---

No. 4
PBE NdEr4Al4, optimized geometry; uncorrected energy = -0.3221 Ry/atom; M_tot = 0.000 μB/cell
1.0
-4.847 4.847 2.568
4.847 -4.847 2.568
4.847 4.847 -2.568
Nd Er Al
1 4 4
Direct
0.000 0.000 0.000
0.106 0.647 0.753
0.353 0.106 0.459
0.647 0.894 0.541
0.894 0.353 0.247
0.320 0.421 0.741
0.421 0.680 0.100
0.579 0.320 0.900
0.680 0.579 0.259

---

No. 5
PBE Nd2ErAl, optimized geometry; energy above the most stable polymorph in this dataset = 0.44 eV per formula unit; M_tot = 0.001 μB/cell
1.0
0.000 3.852 3.852
3.852 0.000 3.852
3.852 3.852 0.000
Nd Er Al
2 1 1
Direct
0.250 0.250 0.250
0.750 0.750 0.750
0.000 0.000 0.000
0.500 0.500 0.500

---

No. 6
PBE NdEr4Al, optimized geometry; energy above the most stable polymorph in this dataset = 0.00 eV per formula unit; M_tot = 0.000 μB/cell
1.0
3.537 0.000 0.000
0.000 3.537 0.000
0.000 0.000 13.896
Nd Er Al
1 4 1
Direct
0.000 0.000 0.000
0.000 0.000 0.366
0.000 0.000 0.634
0.500 0.500 0.184
0.500 0.500 0.816
0.500 0.500 0.500

---

No. 7
PBE Nd3ErAl, optimized geometry; energy above the most stable polymorph in this dataset = 0.00 eV per formula unit; M_tot = 0.000 μB/cell
1.0
6.641 -1.839 0.000
6.641 1.839 0.000
-1.277 0.000 12.515
Nd Er Al
6 2 2
Direct
0.037 0.037 0.195
0.142 0.142 0.446
0.362 0.362 0.021
0.638 0.638 0.979
0.858 0.858 0.554
0.963 0.963 0.805
0.218 0.218 0.746
0.782 0.782 0.254
0.447 0.447 0.378
0.553 0.553 0.622

---

No. 8
PBE NdEr2Al6, optimized geometry; energy above the most stable polymorph in this dataset = 0.00 eV per formula unit; M_tot = 0.000 μB/cell
1.0
7.933 0.000 0.000
-3.967 6.870 0.000
0.000 0.000 3.508
Nd Er Al
1 2 6
Direct
0.000 0.000 0.000
0.333 0.667 0.000
0.667 0.333 0.000
0.000 0.336 0.500
0.000 0.664 0.500
0.336 0.000 0.500
0.336 0.336 0.500
0.664 0.000 0.500
0.664 0.664 0.500

---

| no. | DOS(E_F) (states/eV/cell) |
| --- | --- |
| 1 | 4.21 |
| 2 | 10.53 |
| 3 | 5.42 |
| 4 | 7.01 |
| 5 | 6.48 |
| 6 | 6.98 |
| 7 | 12.59 |
| 8 | 2.24 |